Arrangement 1

A plane-wave DFT calculation with PBE-GGA was carried out for CaLaPb2Se after structural relaxation.

CIF file:
```
data_CaLaPb2Se
_chemical_formula_sum 'Ca1 La1 Pb2 Se1'
_cell_length_a 5.729
_cell_length_b 5.729
_cell_length_c 5.296
_cell_angle_alpha 90.00
_cell_angle_beta 90.00
_cell_angle_gamma 90.00
_space_group_name_H-M_alt 'P 1'
_space_group_IT_number 1
_space_group_name_Hall 'P 1'
loop_
_atom_site_label
_atom_site_fract_x
_atom_site_fract_y
_atom_site_fract_z
Ca1 0.000 0.000 0.000
La1 0.500 0.500 0.500
Pb1 0.000 0.500 0.000
Pb2 0.500 0.000 0.000
Se1 0.000 0.000 0.500
```



Arrangement 2

A plane-wave DFT calculation with PBE-GGA was carried out for CaLaPb2Se after structural relaxation.

CIF file:
```
data_CaLaPb2Se
_chemical_formula_sum 'Ca1 La1 Pb2 Se1'
_cell_length_a 5.986
_cell_length_b 5.986
_cell_length_c 6.476
_cell_angle_alpha 90.00
_cell_angle_beta 90.00
_cell_angle_gamma 90.00
_space_group_name_H-M_alt 'P 1'
_space_group_IT_number 1
_space_group_name_Hall 'P 1'
loop_
_atom_site_label
_atom_site_fract_x
_atom_site_fract_y
_atom_site_fract_z
Ca1 0.000 0.000 0.000
La1 0.000 0.000 0.500
Pb1 0.000 0.500 0.500
Pb2 0.500 0.000 0.500
Se1 0.500 0.500 0.000
```



Most stable = arrangement 1



Arrangement 1

A plane-wave DFT calculation with PBE-GGA was carried out for CaLaPd6 after structural relaxation.

CIF file:
```
data_CaLaPd6
_chemical_formula_sum 'Ca1 La1 Pd6'
_cell_length_a 5.344
_cell_length_b 5.344
_cell_length_c 5.344
_cell_angle_alpha 90.00
_cell_angle_beta 90.00
_cell_angle_gamma 90.00
_space_group_name_H-M_alt 'P 1'
_space_group_IT_number 1
_space_group_name_Hall 'P 1'
loop_
_atom_site_label
_atom_site_fract_x
_atom_site_fract_y
_atom_site_fract_z
Ca1 0.000 0.000 0.000
La1 0.500 0.500 0.500
Pd1 0.000 0.248 0.500
Pd2 0.000 0.752 0.500
Pd3 0.248 0.500 0.000
Pd4 0.500 0.000 0.248
Pd5 0.500 0.000 0.752
Pd6 0.752 0.500 0.000
```



Arrangement 2

A plane-wave DFT calculation with PBE-GGA was carried out for CaLaPd6 after structural relaxation.

CIF file:
```
data_CaLaPd6
_chemical_formula_sum 'Ca1 La1 Pd6'
_cell_length_a 5.983
_cell_length_b 5.983
_cell_length_c 4.768
_cell_angle_alpha 90.00
_cell_angle_beta 90.00
_cell_angle_gamma 120.00
_space_group_name_H-M_alt 'P 1'
_space_group_IT_number 1
_space_group_name_Hall 'P 1'
loop_
_atom_site_label
_atom_site_fract_x
_atom_site_fract_y
_atom_site_fract_z
Ca1 0.000 0.000 0.000
La1 0.333 0.667 0.500
Pd1 0.345 0.173 0.500
Pd2 0.508 0.016 0.000
Pd3 0.508 0.492 0.000
Pd4 0.827 0.173 0.500
Pd5 0.827 0.655 0.500
Pd6 0.984 0.492 0.000
```



Most stable = arrangement 2